(one)
A geometry-optimized SrY2W structure, computed with PBE.

Lattice parameters (Å, degrees): 4.9254 4.9254 4.5307 90.00 90.00 90.00
Last column: nearest neighbours and their distance in Å.
Positions (direct):
Sr  0.0000  0.0000  0.0000  8 Y 3.35, 4 W 3.48
Y  0.0000  0.5000  0.5000  4 W 3.35, 4 Sr 3.35, 4 Y 3.48
Y  0.5000  0.0000  0.5000  4 W 3.35, 4 Sr 3.35, 4 Y 3.48
W  0.5000  0.5000  0.0000  8 Y 3.35, 4 Sr 3.48

Calculated values
* space group: P4/mmm, No. 123
* size of the total moment: 0.00 μB/atom

(two)
A geometry-optimized SrY2W structure, computed with PBE.

Lattice parameters (Å, degrees): 11.0828 11.0828 11.0828 19.00 19.00 19.00
Last column: nearest neighbours and their distance in Å.
Positions (direct):
Sr  0.0000  0.0000  0.0000  6 Sr 3.66, 6 Y 4.02
Y  0.2287  0.2287  0.2287  3 W 2.93
Y  0.7713  0.7713  0.7713  3 W 2.93
W  0.5000  0.5000  0.5000  6 Y 2.93

Calculated values
* space group: R-3m, No. 166
* size of the total moment: 0.00 μB/atom

Most stable: (two)

(one)
A geometry-optimized Hg4W5 structure, computed with PBE.

Lattice parameters (Å, degrees): 8.1660 8.1660 5.5791 90.00 90.00 120.00
Last column: nearest neighbours and their distance in Å.
Positions (direct):
Hg  0.0000  0.0000  0.0000  2 Hg 2.79, 6 W 2.88
Hg  0.0000  0.0000  0.5000  2 Hg 2.79, 6 W 2.88
Hg  0.0000  0.3641  0.2500  9 W 2.68-2.96
Hg  0.0000  0.6359  0.7500  9 W 2.68-2.96
Hg  0.3641  0.0000  0.2500  9 W 2.68-2.96
Hg  0.3641  0.3641  0.7500  9 W 2.68-2.96
Hg  0.6359  0.0000  0.7500  9 W 2.68-2.96
Hg  0.6359  0.6359  0.2500  9 W 2.68-2.96
W  0.0000  0.3082  0.7500  7 Hg 2.68-2.88
W  0.0000  0.6918  0.2500  7 Hg 2.68-2.88
W  0.3082  0.0000  0.7500  7 Hg 2.68-2.88
W  0.3082  0.3082  0.2500  7 Hg 2.68-2.88
W  0.3333  0.6667  0.0000  2 W 2.79, 6 Hg 2.96
W  0.3333  0.6667  0.5000  2 W 2.79, 6 Hg 2.96
W  0.6667  0.3333  0.0000  2 W 2.79, 6 Hg 2.96
W  0.6667  0.3333  0.5000  2 W 2.79, 6 Hg 2.96
W  0.6918  0.0000  0.2500  7 Hg 2.68-2.88
W  0.6918  0.6918  0.7500  7 Hg 2.68-2.88

Calculated values
* space group: P6_3/mcm, No. 193
* size of the total moment: 0.00 μB/atom

(two)
A geometry-optimized Hg4W5 structure, computed with PBE.

Lattice parameters (Å, degrees): 6.6084 6.6084 6.6084 95.66 95.66 143.39
Last column: nearest neighbours and their distance in Å.
Positions (direct):
Hg  0.0000  0.3264  0.3264  7 W 2.90-3.10, 5 Hg 3.01-3.08
Hg  0.0000  0.6736  0.6736  7 W 2.90-3.10, 5 Hg 3.01-3.08
Hg  0.3264  0.0000  0.3264  7 W 2.90-3.10, 5 Hg 3.01-3.08
Hg  0.6736  0.0000  0.6736  7 W 2.90-3.10, 5 Hg 3.01-3.08
W  0.0000  0.0000  0.0000  8 W 2.81, 4 Hg 2.90
W  0.3486  0.3486  0.6973  4 W 2.69-2.81, 4 Hg 2.92
W  0.3486  0.6514  0.0000  4 W 2.69-2.81, 4 Hg 2.92
W  0.6514  0.3486  0.0000  4 W 2.69-2.81, 4 Hg 2.92
W  0.6514  0.6514  0.3027  4 W 2.69-2.81, 4 Hg 2.92

Calculated values
* space group: I4/mmm, No. 139
* size of the total moment: 0.00 μB/atom

Most stable: (two)

(one)
A geometry-optimized KP2Au structure, computed with PBE.

Lattice parameters (Å, degrees): 6.3739 6.3739 6.3739 106.41 106.41 115.78
Last column: nearest neighbours and their distance in Å.
Positions (direct):
K  0.0000  0.0000  0.0000  8 P 3.35-3.39, 2 Au 3.39
K  0.7500  0.2500  0.5000  8 P 3.35-3.39, 2 Au 3.39
P  0.2189  0.1250  0.5939  2 Au 2.40
P  0.3750  0.7811  0.9061  2 Au 2.40
P  0.5311  0.6250  0.4061  2 Au 2.40
P  0.8750  0.4689  0.0939  2 Au 2.40
Au  0.2500  0.7500  0.5000  4 P 2.40
Au  0.5000  0.5000  0.0000  4 P 2.40

Calculated values
* space group: I-42d, No. 122
* size of the total moment: 0.00 μB/atom

(two)
A geometry-optimized KP2Au structure, computed with PBE.

Lattice parameters (Å, degrees): 4.8342 4.8342 4.8342 60.00 60.00 60.00
Last column: nearest neighbours and their distance in Å.
Positions (direct):
K  0.0000  0.0000  0.0000  8 P 2.96
P  0.2500  0.2500  0.2500  4 K 2.96, 4 Au 2.96
P  0.7500  0.7500  0.7500  4 K 2.96, 4 Au 2.96
Au  0.5000  0.5000  0.5000  8 P 2.96

Calculated values
* space group: Fm-3m, No. 225
* size of the total moment: 0.00 μB/atom

Most stable: (one)

(one)
A geometry-optimized LaCrIr2 structure, computed with PBE.

Lattice parameters (Å, degrees): 5.7881 5.7881 5.7881 43.03 43.03 43.03
Last column: nearest neighbours and their distance in Å.
Positions (direct):
La  0.0000  0.0000  0.0000  8 Ir 3.16-3.26
Cr  0.5000  0.5000  0.5000  6 Ir 2.53
Ir  0.2070  0.2070  0.2070  3 Cr 2.53, 3 Ir 2.76
Ir  0.7930  0.7930  0.7930  3 Cr 2.53, 3 Ir 2.76

Calculated values
* space group: R-3m, No. 166
* size of the total moment: 0.56 μB/atom

(two)
A geometry-optimized LaCrIr2 structure, computed with PBE.

Lattice parameters (Å, degrees): 5.9059 5.9059 5.9059 150.46 131.44 57.87
Last column: nearest neighbours and their distance in Å.
Positions (direct):
La  0.0000  0.0000  0.0000  6 Ir 2.86-3.12, 2 La 3.01
Cr  0.2934  0.7934  0.5000  6 Ir 2.74-2.92, 2 Cr 3.01
Ir  0.5149  0.5149  0.0000  4 Ir 2.74-3.01, 2 Cr 2.74, 4 La 2.86
Ir  0.7361  0.2361  0.5000  4 Ir 2.74-3.01, 4 Cr 2.92

Calculated values
* space group: Imm2, No. 44
* size of the total moment: 0.86 μB/atom

Most stable: (one)

(one)
A geometry-optimized AlHSe2 structure, computed with PBE.

Lattice parameters (Å, degrees): 10.4331 10.4331 5.3022 90.00 90.00 163.44
Last column: nearest neighbours and their distance in Å.
Positions (direct):
Al  0.0497  0.9503  0.7500  3 Se 2.46-2.68
Al  0.9503  0.0497  0.2500  3 Se 2.46-2.68
H  0.3135  0.6865  0.7500  1 Se 1.49
H  0.6865  0.3135  0.2500  1 Se 1.49
Se  0.0697  0.9303  0.2500  3 Al 2.46-2.68
Se  0.2411  0.7589  0.7500  1 H 1.49
Se  0.7589  0.2411  0.2500  1 H 1.49
Se  0.9303  0.0697  0.7500  3 Al 2.46-2.68

Calculated values
* space group: Cmcm, No. 63
* size of the total moment: 0.00 μB/atom

(two)
A geometry-optimized AlHSe2 structure, computed with PBE.

Lattice parameters (Å, degrees): 8.5565 3.8770 11.5343 90.00 122.02 90.00
Last column: nearest neighbours and their distance in Å.
Positions (direct):
Al  0.1370  0.0579  0.2323  2 H 1.71-1.82
Al  0.1370  0.4421  0.7323  2 H 1.71-1.82
Al  0.8630  0.5579  0.2677  2 H 1.71-1.82
Al  0.8630  0.9421  0.7677  2 H 1.71-1.82
H  0.0689  0.1319  0.8155  2 Al 1.71-1.82
H  0.0689  0.3681  0.3155  2 Al 1.71-1.82
H  0.9311  0.6319  0.6845  2 Al 1.71-1.82
H  0.9311  0.8681  0.1845  2 Al 1.71-1.82
Se  0.1634  0.5024  0.0921  1 Al 2.45, 1 Se 2.46
Se  0.1634  0.9976  0.5921  1 Al 2.45, 1 Se 2.46
Se  0.4332  0.6625  0.8950  1 Al 2.37, 1 Se 2.41
Se  0.4332  0.8375  0.3950  1 Al 2.37, 1 Se 2.41
Se  0.5668  0.1625  0.6050  1 Al 2.37, 1 Se 2.41
Se  0.5668  0.3375  0.1050  1 Al 2.37, 1 Se 2.41
Se  0.8366  0.0024  0.4079  1 Al 2.45, 1 Se 2.46
Se  0.8366  0.4976  0.9079  1 Al 2.45, 1 Se 2.46

Calculated values
* space group: P2_1/c, No. 14
* size of the total moment: 0.00 μB/atom

Most stable: (two)

(one)
A geometry-optimized CoTc2Pt structure, computed with PBE.

Lattice parameters (Å, degrees): 2.6926 2.6926 7.6290 90.00 90.00 90.00
Last column: nearest neighbours and their distance in Å.
Positions (direct):
Co  0.0000  0.0000  0.0000  4 Tc 2.53, 4 Co 2.69, 4 Pt 2.71
Tc  0.0000  0.0000  0.5135  8 Tc 2.69-2.79, 4 Pt 2.76
Tc  0.5000  0.5000  0.7807  4 Co 2.53, 8 Tc 2.69-2.79
Pt  0.5000  0.5000  0.2520  4 Pt 2.69, 4 Co 2.71, 4 Tc 2.76

Calculated values
* space group: P4mm, No. 99
* size of the total moment: 0.21 μB/atom

(two)
A geometry-optimized CoTc2Pt structure, computed with PBE.

Lattice parameters (Å, degrees): 4.6207 2.6958 4.7200 90.00 108.96 90.00
Last column: nearest neighbours and their distance in Å.
Positions (direct):
Co  0.0000  0.0000  0.0000  4 Pt 2.67, 2 Co 2.70, 6 Tc 2.71-2.72
Tc  0.0000  0.5000  0.5000  6 Tc 2.67-2.70, 2 Pt 2.71, 4 Co 2.72
Tc  0.5000  0.0000  0.5000  6 Tc 2.67-2.70, 2 Co 2.71, 4 Pt 2.72
Pt  0.5000  0.5000  0.0000  4 Co 2.67, 2 Pt 2.70, 6 Tc 2.71-2.72

Calculated values
* space group: P2/m, No. 10
* size of the total moment: 0.21 μB/atom

Most stable: (one)